Record 1
Here is a relaxed structure of La3PuAu7 from Alexandria. Energies are from GGA-PBE.

Energy of formation   -0.65 eV/atom
DOS(E_F)   1.705 states/eV/atom
M_tot   5.67 μB per formula unit

abc: 3.9678 21.7401 13.1811
angles: 90.00 90.00 90.00
Closest atoms and distances in Å follow each position.
Space group Cmcm (No. 63)
One atom of each set of equivalent atoms:
La  0.0000  0.1333  0.0511  9 Au 3.07-3.29
La  0.0000  0.2137  0.7500  8 Au 3.14-3.43
Pu  0.0000  0.0092  0.7500  8 Au 3.00-3.19
Au  0.0000  0.2752  0.0666  3 Au 2.82-2.87, 3 La 3.09-3.14
Au  0.0000  0.3760  0.7500  2 Au 2.96, 4 La 3.29
Au  0.0000  0.3969  0.1410  3 Au 2.82-2.93
Au  0.0000  0.4718  0.5903  3 Au 2.68-2.96

=====

Record 2
Here is a relaxed structure of LiNdTh2As4 from Alexandria. Energies are from GGA-PBE.

Energy of formation   -1.18 eV/atom
DOS(E_F)   0.317 states/eV/atom
M_tot   0.00 μB per formula unit

abc: 7.2697 4.2894 7.3778
angles: 90.00 109.60 90.00
Closest atoms and distances in Å follow each position.
Space group P2/m (No. 10)
One atom of each set of equivalent atoms:
Li  0.0000  0.0000  0.0000  6 As 2.98-3.04
Nd  0.0000  0.5000  0.5000  6 As 3.03
Th  0.5000  0.0000  0.5000  6 As 2.98-3.00
Th  0.5000  0.5000  0.0000  6 As 2.96-2.99
As  0.2518  0.0000  0.7536  1 Li 2.98, 3 Th 2.99-3.00, 2 Nd 3.03
As  0.2577  0.5000  0.2519  3 Th 2.96-2.98, 1 Nd 3.03, 2 Li 3.04

=====

Record 3
Here is a relaxed structure of La5TbTh2 from Alexandria. Energies are from GGA-PBE.

Energy of formation   0.12 eV/atom
DOS(E_F)   1.682 states/eV/atom
M_tot   0.00 μB per formula unit

abc: 3.6155 8.9481 17.8164
angles: 90.00 100.70 90.00
Closest atoms and distances in Å follow each position.
Space group P2/c (No. 13)
One atom of each set of equivalent atoms:
La  0.0000  0.0358  0.2500  4 La 3.36-3.62, 4 Th 3.39-3.46, 2 Tb 3.63
La  0.1507  0.3444  0.3589  4 La 3.36-3.62, 2 Th 3.58-3.70
La  0.1942  0.3139  0.9503  3 Th 3.45-3.59, 5 La 3.45-3.84
Tb  0.5000  0.3159  0.7500  2 Tb 3.62, 8 La 3.63-3.96
Th  0.3296  0.0096  0.0844  7 La 3.39-3.70, 4 Th 3.46-3.62

=====

Record 4
Here is a relaxed structure of La2Pr12Nd5 from Alexandria. Energies are from GGA-PBE.

Energy of formation   0.11 eV/atom
DOS(E_F)   1.411 states/eV/atom
Energy above the lowest structure with this stoichiometry   22 meV/atom
M_tot   0.00 μB per formula unit

abc: 16.5714 10.2871 8.1617
angles: 90.00 90.48 90.00
Closest atoms and distances in Å follow each position.
Space group C2/m (No. 12)
One atom of each set of equivalent atoms:
La  0.0000  0.2163  0.0000  8 Pr 3.61-3.85, 2 Nd 3.84
Pr  0.0509  0.5000  0.7111  3 Nd 3.37-3.71, 6 Pr 3.56-3.71
Pr  0.1053  0.2749  0.3890  4 Nd 3.45-3.78, 5 Pr 3.56-3.69, 1 La 3.66
Pr  0.1619  0.0000  0.1230  2 Nd 3.28-3.58, 2 Pr 3.61, 2 La 3.62
Pr  0.1915  0.2263  0.7915  4 Nd 3.55-3.75, 6 Pr 3.61-3.93, 1 La 3.61
Nd  0.0000  0.0000  0.5000  4 Pr 3.45
Nd  0.1466  0.5000  0.0768  9 Pr 3.37-3.73
Nd  0.2491  0.0000  0.4853  5 Pr 3.28-3.55

=====

Record 5
Here is a relaxed structure of CaBe4Mo from Alexandria. Energies are from GGA-PBE.

Energy of formation   0.31 eV/atom
DOS(E_F)   0.689 states/eV/atom
M_tot   2.01 μB per formula unit

abc: 6.7122 6.7122 6.7122
angles: 90.00 90.00 90.00
Closest atoms and distances in Å follow each position.
Space group F-43m (No. 216)
One atom of each set of equivalent atoms:
Ca  0.0000  0.0000  0.0000  12 Be 2.80, 4 Mo 2.91
Be  0.1191  0.1191  0.3809  6 Be 2.26-2.49
Mo  0.2500  0.2500  0.7500  12 Be 2.77, 4 Ca 2.91

=====

Record 6
Here is a relaxed structure of Sr3Tl4Rh2 from Alexandria. Energies are from GGA-PBE.

Energy of formation   -0.30 eV/atom
DOS(E_F)   0.654 states/eV/atom
Energy above the lowest structure with this stoichiometry   0 meV/atom
M_tot   0.00 μB per formula unit

abc: 11.5994 4.9363 9.1000
angles: 90.00 99.25 90.00
Closest atoms and distances in Å follow each position.
Space group C2/m (No. 12)
One atom of each set of equivalent atoms:
Sr  0.0000  0.0000  0.0000  8 Tl 3.43-3.66
Sr  0.1160  0.5000  0.6885  3 Rh 3.05-3.36
Tl  0.0992  0.0000  0.3856  3 Rh 2.77
Tl  0.2042  0.5000  0.0915  1 Rh 2.73
Rh  0.2077  0.5000  0.3920  4 Tl 2.73-2.77, 1 Sr 3.05

=====

Record 7
Here is a relaxed structure of Dy3Ho2Se6 from Alexandria. Energies are from GGA-PBE.

DOS(E_F)   0.400 states/eV/atom
Formation energy from raw total energies   -1.773 eV/atom
Energy above the lowest structure with this stoichiometry   83 meV/atom
M_tot   0.00 μB per formula unit

abc: 4.0987 4.0987 60.4554
angles: 90.00 90.00 120.00
Closest atoms and distances in Å follow each position.
Space group R-3m (No. 166, hexagonal axes)
One atom of each set of equivalent atoms:
Dy  0.0000  0.0000  0.0000  6 Se 2.88
Dy  0.0000  0.0000  0.2796  6 Se 2.86-2.93
Ho  0.0000  0.0000  0.4464  6 Se 2.75-3.01
Se  0.0000  0.0000  0.0823  3 Dy 2.93, 3 Ho 3.01
Se  0.0000  0.0000  0.1972  3 Ho 2.75
Se  0.0000  0.0000  0.3605  6 Dy 2.86-2.88

=====

Record 8
Here is a relaxed structure of KBPb from Alexandria. Energies are from GGA-PBE.

Energy of formation   0.90 eV/atom
DOS(E_F)   0.558 states/eV/atom
Energy above the lowest structure with this stoichiometry   765 meV/atom
M_tot   0.00 μB per formula unit

abc: 6.9511 9.1660 6.0092
angles: 90.00 90.00 90.00
Closest atoms and distances in Å follow each position.
Space group Cmme (No. 67)
One atom of each set of equivalent atoms:
K  0.2500  0.0000  0.0000  4 B 3.28, 2 K 3.48
B  0.0000  0.2500  0.2626  2 Pb 2.25
Pb  0.2500  0.2500  0.5000  2 B 2.25

=====

Record 9
Here is a relaxed structure of InGe2Rh from Alexandria. Energies are from GGA-PBE.

Energy of formation   -0.09 eV/atom
DOS(E_F)   0.674 states/eV/atom
M_tot   0.00 μB per formula unit

abc: 4.1414 4.1414 16.8912
angles: 90.00 90.00 120.00
Closest atoms and distances in Å follow each position.
Space group R3m (No. 160, hexagonal axes)
One atom of each set of equivalent atoms:
In  0.0000  0.0000  0.0000  1 Rh 2.72, 3 Ge 2.93
Ge  0.0000  0.0000  0.2078  3 Rh 2.47
Ge  0.0000  0.0000  0.4336  3 Rh 2.68, 3 In 2.93, 3 Ge 3.00
Rh  0.0000  0.0000  0.8389  6 Ge 2.47-2.68, 1 In 2.72

=====

Record 10
Here is a relaxed structure of TiZnGa2 from Alexandria. Energies are from GGA-PBE.

Energy of formation   -0.02 eV/atom
DOS(E_F)   0.403 states/eV/atom
M_tot   0.00 μB per formula unit

abc: 7.0376 7.0376 5.5216
angles: 90.00 90.00 90.00
Closest atoms and distances in Å follow each position.
Space group I-42d (No. 122)
One atom of each set of equivalent atoms:
Ti  0.0000  0.0000  0.0000  4 Ga 2.69, 2 Zn 2.76
Zn  0.0000  0.0000  0.5000  4 Ga 2.48, 2 Ti 2.76
Ga  0.2276  0.7500  0.6250  2 Zn 2.48, 2 Ti 2.69

=====

Record 11
Here is a relaxed structure of CaPt2 from Alexandria. Energies are from GGA-PBE.

Energy of formation   -0.65 eV/atom
DOS(E_F)   0.699 states/eV/atom
M_tot   0.00 μB per formula unit

abc: 4.2517 4.2517 15.2349
angles: 90.00 90.00 90.00
Closest atoms and distances in Å follow each position.
Space group I4_1/amd (No. 141, origin choice 2)
One atom of each set of equivalent atoms:
Ca  0.0000  0.2500  0.3750  12 Pt 3.26-3.32
Pt  0.0000  0.2500  0.7920  3 Pt 2.48-2.53

=====

Record 12
Here is a relaxed structure of Pm2Zn3Ni from Alexandria. Energies are from GGA-PBE.

Energy of formation   -0.36 eV/atom
DOS(E_F)   0.748 states/eV/atom
M_tot   0.00 μB per formula unit

abc: 3.6821 4.4192 7.6663
angles: 90.00 90.00 90.00
Closest atoms and distances in Å follow each position.
Space group Pmm2 (No. 25)
One atom of each set of equivalent atoms:
Pm  0.0000  0.0000  0.0000  2 Ni 2.98, 8 Zn 3.08-3.24
Pm  0.0000  0.5000  0.4563  8 Zn 3.03-3.25, 4 Ni 3.10
Zn  0.5000  0.0000  0.6364  1 Ni 2.54, 2 Zn 2.56
Zn  0.5000  0.5000  0.1422  2 Ni 2.54, 1 Zn 2.58
Zn  0.5000  0.5000  0.8053  3 Zn 2.56-2.58
Ni  0.5000  0.0000  0.3055  3 Zn 2.54